Density functional theory data (PBE) for BCl2O after structural relaxation.

Lattice parameters (Å, degrees): 5.719 5.719 7.175 90.00 90.00 90.00
Space group I-42d (No. 122)
Unique sites:
1 B 0.000 0.000 0.000 (multiplicity 4)
2 Cl 0.160 0.750 0.125 (multiplicity 8)
3 O 0.000 0.000 0.500 (multiplicity 4)

* total moment: 4.0 Bohr magnetons per cell
* excess energy over the best structure of this formula in the dataset: 213 meV per atom
* raw total energy: -12.584 eV/f.u.
* crystal system: tetragonal
* DOS at the Fermi energy: 3.830 states/eV/f.u.